TbSiSb after structural relaxation, computed with PBE.

Lattice parameters (Å, degrees): 4.043 4.043 21.904 90.00 90.00 90.00
Space group I4/mmm (No. 139)
Unique sites:
Tb 0.000 0.000 0.174 [4 per cell]
Si 0.000 0.000 0.301 [4 per cell]
Sb 0.000 0.000 0.416 [4 per cell]

Properties
crystal system = tetragonal
density of states at the Fermi level = 6.55 states/eV/cell
total magnetic moment = 0.00 μB per cell
calculated density = 5728 kg/m³
uncorrected formation energy = -0.32 eV/atom

=====

TbEr2ScTl4 after structural relaxation, computed with PBE.

Lattice parameters (Å, degrees): 5.2859 5.2859 26.0184 90.00 90.00 120.00
Space group R-3m (No. 166, hexagonal axes)
Unique sites:
Tb 0.0000 0.0000 0.0000 [3 per cell]
Er 0.0000 0.0000 0.2486 [6 per cell]
Sc 0.0000 0.0000 0.5000 [3 per cell]
Tl 0.0000 0.0000 0.1266 [6 per cell]
Tl 0.0000 0.0000 0.3769 [6 per cell]

Properties
crystal system = trigonal
density of states at the Fermi level = 20.47 states/eV/cell
total magnetic moment = 0.00 μB per cell
calculated density = 10729 kg/m³
calculated formation energy = -300 meV/atom

=====

Cs2CaCdAs2 after structural relaxation, computed with PBE.

Lattice parameters (Å, degrees): 6.972 17.118 7.112 90.00 90.00 90.00
Space group Ibam (No. 72)
Unique sites:
Cs 0.230 0.178 0.000 [8 per cell]
Ca 0.000 0.500 0.250 [4 per cell]
Cd 0.000 0.000 0.250 [4 per cell]
As 0.239 0.089 0.500 [8 per cell]

Properties
crystal system = orthorhombic
total magnetic moment = 0.00 μB per cell
calculated density = 4446 kg/m³
calculated formation energy = -654 meV/atom

=====

Sr2In2Te after structural relaxation, computed with PBE.

Lattice parameters (Å, degrees): 8.413 8.413 4.858 90.00 90.00 90.00
Space group P4/mbm (No. 127)
Unique sites:
Sr 0.173 0.327 0.000 [4 per cell]
In 0.126 0.626 0.500 [4 per cell]
Te 0.000 0.000 0.500 [2 per cell]

Properties
crystal system = tetragonal
density of states at the Fermi level = 6.38 states/eV/cell
total magnetic moment = 0.00 μB per cell
calculated density = 5142 kg/m³
uncorrected formation energy = -0.53 eV/atom

=====

YTlSe2Br after structural relaxation, computed with PBE.

Lattice parameters (Å, degrees): 5.402 5.402 5.358 90.00 90.00 90.00
Space group P4/mmm (No. 123)
Unique sites:
Y 0.000 0.000 0.000 [1 per cell]
Tl 0.500 0.500 0.500 [1 per cell]
Se 0.000 0.500 0.500 [2 per cell]
Br 0.500 0.500 0.000 [1 per cell]

Properties
crystal system = tetragonal
density of states at the Fermi level = 2.58 states/eV/cell
total magnetic moment = 0.01 μB per cell
distance to the lowest polymorph of the same formula = 4.18 eV/f.u.
calculated density = 5641 kg/m³
uncorrected formation energy = -0.18 eV/atom

=====

Pd2RhW after structural relaxation, computed with PBE.

Lattice parameters (Å, degrees): 2.776 4.751 4.839 80.11 73.38 89.90
Space group P-1 (No. 2)
Unique sites:
Pd 0.249 0.246 0.001 [2 per cell]
Rh 0.000 0.500 0.500 [1 per cell]
W 0.500 0.000 0.500 [1 per cell]

Properties
crystal system = triclinic
density of states at the Fermi level = 4.67 states/eV/cell
total magnetic moment = 0.00 μB per cell
distance to the lowest polymorph of the same formula = 0.00 eV/f.u.
calculated density = 13790 kg/m³
calculated formation energy = -21 meV/atom

=====

AcCu2Pd6 after structural relaxation, computed with PBE.

Lattice parameters (Å, degrees): 11.395 11.395 11.395 90.00 90.00 90.00
Space group Fd-3m (No. 227, origin choice 2)
Unique sites:
Ac 0.125 0.125 0.125 [8 per cell]
Cu 0.000 0.000 0.500 [16 per cell]
Pd 0.123 0.375 0.375 [48 per cell]

Properties
crystal system = cubic
density of states at the Fermi level = 55.96 states/eV/cell
total magnetic moment = 0.00 μB per cell
calculated density = 8911 kg/m³
calculated formation energy = 55 meV/atom

=====

Sc2Cd2Cu after structural relaxation, computed with PBE.

Lattice parameters (Å, degrees): 6.970 6.970 4.418 90.00 90.00 90.00
Space group P4/mbm (No. 127)
Unique sites:
Sc 0.166 0.334 0.000 [4 per cell]
Cd 0.142 0.642 0.500 [4 per cell]
Cu 0.000 0.000 0.500 [2 per cell]

Properties
crystal system = tetragonal
density of states at the Fermi level = 12.50 states/eV/cell
total magnetic moment = 0.00 μB per cell
distance to the lowest polymorph of the same formula = 0.00 eV/f.u.
calculated density = 5853 kg/m³
calculated formation energy = -40 meV/atom

=====

InHg2Sb after structural relaxation, computed with PBE.

Lattice parameters (Å, degrees): 3.4290 3.4290 31.1205 90.00 90.00 120.00
Space group R-3m (No. 166, hexagonal axes)
Unique sites:
In 0.0000 0.0000 0.0000 [3 per cell]
Hg 0.0000 0.0000 0.2507 [6 per cell]
Sb 0.0000 0.0000 0.5000 [3 per cell]

Properties
crystal system = trigonal
density of states at the Fermi level = 3.72 states/eV/cell
total magnetic moment = 0.00 μB per cell
calculated density = 10026 kg/m³
uncorrected formation energy = 0.11 eV/atom

=====

Na4Pu3ZnSe8 after structural relaxation, computed with PBE.

Lattice parameters (Å, degrees): 14.360 8.271 8.412 90.00 124.65 90.00
Space group C2/m (No. 12)
Unique sites:
Na 0.000 0.000 0.000 [2 per cell]
Na 0.000 0.500 0.000 [2 per cell]
Na 0.250 0.250 0.000 [4 per cell]
Pu 0.000 0.000 0.500 [2 per cell]
Pu 0.250 0.250 0.500 [4 per cell]
Zn 0.000 0.500 0.500 [2 per cell]
Se 0.007 0.258 0.278 [8 per cell]
Se 0.239 0.500 0.725 [4 per cell]
Se 0.243 0.000 0.731 [4 per cell]

Properties
crystal system = monoclinic
density of states at the Fermi level = 60.31 states/eV/cell
total magnetic moment = 28.00 μB per cell
calculated density = 6146 kg/m³
uncorrected formation energy = -1.21 eV/atom

=====

PmSmZnAu after structural relaxation, computed with PBE.

Lattice parameters (Å, degrees): 7.345 7.345 7.345 90.00 90.00 90.00
Space group F-43m (No. 216)
Unique sites:
Pm 0.000 0.000 0.000 [4 per cell]
Sm 0.000 0.000 0.500 [4 per cell]
Zn 0.250 0.250 0.250 [4 per cell]
Au 0.250 0.250 0.750 [4 per cell]

Properties
crystal system = cubic
density of states at the Fermi level = 10.89 states/eV/cell
total magnetic moment = 0.00 μB per cell
distance to the lowest polymorph of the same formula = 0.07 eV/f.u.
calculated density = 9347 kg/m³
calculated formation energy = -539 meV/atom

=====

Rb2ZrCuI6 after structural relaxation, computed with PBE.

Lattice parameters (Å, degrees): 8.265 8.265 11.565 90.00 90.00 90.00
Space group I4/mmm (No. 139)
Unique sites:
Rb 0.000 0.500 0.250 [4 per cell]
Zr 0.000 0.000 0.000 [2 per cell]
Cu 0.000 0.000 0.500 [2 per cell]
I 0.000 0.000 0.254 [4 per cell]
I 0.249 0.249 0.500 [8 per cell]

Properties
crystal system = tetragonal
density of states at the Fermi level = 16.47 states/eV/cell
total magnetic moment = 2.00 μB per cell
calculated density = 4570 kg/m³
uncorrected formation energy = -0.86 eV/atom

=====

Pm5Y3Tm after structural relaxation, computed with PBE.

Lattice parameters (Å, degrees): 20.048 6.270 11.761 90.00 122.70 90.00
Space group C2/c (No. 15)
Unique sites:
Pm 0.000 0.090 0.250 [4 per cell]
Pm 0.137 0.170 0.658 [8 per cell]
Pm 0.180 0.320 0.332 [8 per cell]
Y 0.000 0.500 0.000 [4 per cell]
Y 0.176 0.280 0.028 [8 per cell]
Tm 0.000 0.401 0.750 [4 per cell]

Properties
crystal system = monoclinic
density of states at the Fermi level = 49.40 states/eV/cell
total magnetic moment = 0.00 μB per cell
distance to the lowest polymorph of the same formula = 0.00 eV/f.u.
calculated density = 6197 kg/m³
calculated formation energy = 276 meV/atom

=====

Sm2TlIn after structural relaxation, computed with PBE.

Lattice parameters (Å, degrees): 7.196 8.621 3.659 90.00 90.00 90.00
Space group Cmmm (No. 65)
Unique sites:
Sm 0.250 0.250 0.000 [4 per cell]
Tl 0.000 0.000 0.500 [2 per cell]
In 0.000 0.500 0.500 [2 per cell]

Properties
crystal system = orthorhombic
density of states at the Fermi level = 4.10 states/eV/cell
total magnetic moment = 0.00 μB per cell
calculated density = 9070 kg/m³
calculated formation energy = -435 meV/atom

=====

BaMg2Cr after structural relaxation, computed with PBE.

Lattice parameters (Å, degrees): 3.5030 3.5030 31.6915 90.00 90.00 120.00
Space group R-3m (No. 166, hexagonal axes)
Unique sites:
Ba 0.0000 0.0000 0.0000 [3 per cell]
Mg 0.0000 0.0000 0.2347 [6 per cell]
Cr 0.0000 0.0000 0.5000 [3 per cell]

Properties
crystal system = trigonal
density of states at the Fermi level = 10.37 states/eV/cell
total magnetic moment = 12.75 μB per cell
distance to the lowest polymorph of the same formula = 0.95 eV/f.u.
calculated density = 3519 kg/m³
calculated formation energy = 570 meV/atom

=====

Ac7As5Se after structural relaxation, computed with PBE.

Lattice parameters (Å, degrees): 14.935 4.487 26.705 90.00 90.16 90.00
Space group C2/m (No. 12)
Unique sites:
Ac 0.040 0.000 0.250 [4 per cell]
Ac 0.086 0.500 0.396 [4 per cell]
Ac 0.087 0.500 0.104 [4 per cell]
Ac 0.138 0.000 0.536 [4 per cell]
Ac 0.138 0.000 0.964 [4 per cell]
Ac 0.180 0.500 0.824 [4 per cell]
Ac 0.181 0.500 0.677 [4 per cell]
As 0.000 0.500 0.000 [2 per cell]
As 0.000 0.500 0.500 [2 per cell]
As 0.047 0.000 0.855 [4 per cell]
As 0.048 0.000 0.645 [4 per cell]
As 0.226 0.000 0.075 [4 per cell]
As 0.226 0.000 0.425 [4 per cell]
Se 0.202 0.500 0.248 [4 per cell]

Properties
crystal system = monoclinic
density of states at the Fermi level = 22.89 states/eV/cell
total magnetic moment = 2.49 μB per cell
calculated density = 7581 kg/m³
uncorrected formation energy = -1.37 eV/atom

=====

NaCaCdBi2 after structural relaxation, computed with PBE.

Lattice parameters (Å, degrees): 5.858 5.858 6.192 90.00 90.00 90.00
Space group P4/mmm (No. 123)
Unique sites:
Na 0.000 0.000 0.000 [1 per cell]
Ca 0.000 0.000 0.500 [1 per cell]
Cd 0.500 0.500 0.000 [1 per cell]
Bi 0.000 0.500 0.500 [2 per cell]

Properties
crystal system = tetragonal
density of states at the Fermi level = 3.34 states/eV/cell
total magnetic moment = 0.00 μB per cell
calculated density = 4638 kg/m³
calculated formation energy = 343 meV/atom

=====

NaAlPb after structural relaxation, computed with PBE.

Lattice parameters (Å, degrees): 11.243 11.243 5.868 90.00 90.00 90.00
Space group I4/mmm (No. 139)
Unique sites:
Na 0.000 0.225 0.000 [8 per cell]
Al 0.119 0.119 0.500 [8 per cell]
Pb 0.000 0.347 0.500 [8 per cell]

Properties
crystal system = tetragonal
density of states at the Fermi level = 9.20 states/eV/cell
total magnetic moment = 0.00 μB per cell
calculated density = 4606 kg/m³
calculated formation energy = 197 meV/atom

=====

ScAl2As after structural relaxation, computed with PBE.

Lattice parameters (Å, degrees): 2.948 5.106 4.964 90.00 96.97 90.00
Space group P2/m (No. 10)
Unique sites:
Sc 0.000 0.000 0.000 [1 per cell]
Al 0.352 0.500 0.741 [2 per cell]
As 0.500 0.000 0.500 [1 per cell]

Properties
crystal system = monoclinic
density of states at the Fermi level = 1.84 states/eV/cell
total magnetic moment = 0.00 μB per cell
calculated density = 3892 kg/m³
calculated formation energy = -280 meV/atom

=====

BaYSc2 after structural relaxation, computed with PBE.

Lattice parameters (Å, degrees): 8.027 8.027 8.027 90.00 90.00 90.00
Space group F-43m (No. 216)
Unique sites:
Ba 0.000 0.000 0.000 [4 per cell]
Y 0.250 0.250 0.250 [4 per cell]
Sc 0.000 0.000 0.500 [4 per cell]
Sc 0.250 0.250 0.750 [4 per cell]

Properties
crystal system = cubic
density of states at the Fermi level = 29.25 states/eV/cell
total magnetic moment = 0.00 μB per cell
distance to the lowest polymorph of the same formula = 0.70 eV/f.u.
calculated density = 4060 kg/m³
calculated formation energy = 369 meV/atom

=====

Mg6CuPd12 after structural relaxation, computed with PBE.

Lattice parameters (Å, degrees): 9.6426 9.6426 11.4432 90.00 90.00 120.00
Space group R-3 (No. 148, hexagonal axes)
Unique sites:
Mg 0.0170 0.4237 0.2149 [18 per cell]
Cu 0.0000 0.0000 0.5000 [3 per cell]
Pd 0.0347 0.1836 0.3254 [18 per cell]
Pd 0.0536 0.8515 0.9052 [18 per cell]

Properties
crystal system = trigonal
density of states at the Fermi level = 16.43 states/eV/cell
total magnetic moment = 0.00 μB per cell
calculated density = 8036 kg/m³
calculated formation energy = -444 meV/atom

=====

ScSbSe2 after structural relaxation, computed with PBE.

Lattice parameters (Å, degrees): 15.298 3.773 3.863 90.00 104.43 90.00
Space group Cm (No. 8)
Unique sites:
Sc 0.000 0.000 0.000 [2 per cell]
Sb 0.188 0.000 0.686 [2 per cell]
Se 0.142 0.500 0.140 [2 per cell]
Se 0.438 0.000 0.439 [2 per cell]

Properties
crystal system = monoclinic
density of states at the Fermi level = 0.56 states/eV/cell
total magnetic moment = 0.00 μB per cell
calculated density = 4994 kg/m³
uncorrected formation energy = -0.83 eV/atom

=====

Ca2Pm2Pr after structural relaxation, computed with PBE.

Lattice parameters (Å, degrees): 4.734 4.734 17.235 90.00 90.00 90.00
Space group I4/mmm (No. 139)
Unique sites:
Ca 0.000 0.500 0.250 [4 per cell]
Pm 0.000 0.000 0.089 [4 per cell]
Pr 0.000 0.000 0.500 [2 per cell]

Properties
crystal system = tetragonal
density of states at the Fermi level = 15.08 states/eV/cell
total magnetic moment = 0.00 μB per cell
calculated density = 4394 kg/m³
calculated formation energy = 362 meV/atom